Entry 1:
Compound: TmThMn
Source: Alexandria
Functional: PBE-GGA
Structure: optimized geometry

The structure in POSCAR format:
```
TmThMn
1.0
3.530 0.000 0.000
0.000 3.530 0.000
-1.765 -1.765 6.010
Mn Tm Th
1 1 1
Cartesian
1.765 1.765 2.022
0.000 0.000 0.272
0.000 0.000 3.715
```

Computed properties:
- SG: I4mm, No. 107
- ΔE to the lowest computed polymorph: 68 meV/atom
- Spin magnetization: 2.70 μB per formula unit
- E_tot: -6.84 eV/atom
- Density: 10.1 g/cm³
- E_form: 183 meV/atom

---

Entry 2:
Compound: HgPtSe2
Source: Alexandria
Functional: PBE-GGA
Structure: optimized geometry

The structure in POSCAR format:
```
HgPtSe2
1.0
16.927 0.000 1.885
2.065 6.647 -3.134
-2.065 6.647 3.134
Se Hg Pt
16 8 8
Cartesian
1.089 7.982 0.355
7.375 1.334 0.587
15.838 5.313 1.529
9.552 11.960 1.298
12.655 4.328 1.512
12.734 10.976 1.315
4.271 8.966 0.373
4.192 2.319 0.569
8.397 4.647 -0.924
2.131 4.647 -1.267
8.530 8.648 2.809
14.795 8.648 3.152
11.663 7.767 2.980
5.264 5.528 -1.096
13.727 7.702 -0.153
3.199 5.593 2.038
0.999 1.246 0.433
7.464 7.893 0.509
15.928 12.049 1.451
9.462 5.402 1.376
5.946 4.749 2.312
0.453 4.749 1.764
10.980 8.546 -0.427
16.474 8.546 0.120
6.338 3.477 -0.065
2.125 10.125 1.008
10.588 9.817 1.950
14.802 3.170 0.877
7.308 6.785 -1.936
3.220 6.785 -0.255
9.618 6.509 3.821
13.707 6.509 2.140
```

Computed properties:
- SG: C2/c, No. 15
- ΔE to the lowest computed polymorph: 102 meV/atom
- Spin magnetization: 0.00 μB per formula unit
- E_tot: -3.52 eV/atom
- Density: 9.7 g/cm³
- Raw formation energy: -191 meV/atom

---

Entry 3:
Compound: SrTi2AuC
Source: Alexandria
Functional: PBE-GGA
Structure: optimized geometry

The structure in POSCAR format:
```
SrTi2AuC
1.0
4.299 0.000 0.000
0.000 5.263 0.000
0.000 0.000 4.299
Sr C Au Ti
1 1 1 2
Cartesian
2.150 2.632 2.150
0.000 0.000 0.000
0.000 2.632 0.000
0.000 0.000 2.150
2.150 0.000 0.000
```

Computed properties:
- SG: P4/mmm, No. 123
- Spin magnetization: 1.22 μB per formula unit
- E_tot: -5.78 eV/atom
- Density: 6.7 g/cm³
- E_form: 216 meV/atom

---

Entry 4:
Compound: Co2SiRh
Source: Alexandria
Functional: PBE-GGA
Structure: optimized geometry

The structure in POSCAR format:
```
Co2SiRh
1.0
8.014 0.005 0.003
7.575 2.616 0.003
7.575 1.273 2.285
Co Rh Si
2 1 1
Cartesian
0.165 0.028 0.016
11.418 1.919 1.129
5.791 0.974 0.573
17.374 2.921 1.718
```

Computed properties:
- SG: R-3m, No. 166
- Spin magnetization: 2.28 μB per formula unit
- E_tot: -6.85 eV/atom
- Density: 8.7 g/cm³
- Raw formation energy: -106 meV/atom